[1]
Material: Dy4CoSb
Method: DFT, GGA-PBE
State: relaxed

## Properties
**Electronic total energy**: -5.31 eV per atom
**Formation energy (no corrections)**: -367 meV/atom
**Symmetry**: C2/c (15)

Lattice parameters (Å, degrees): 6.536 7.166 8.185 106.74 113.53 90.00
Sites, in units of the cell vectors:
Dy 0.245 0.152 0.346
Dy 0.101 0.652 0.346
Dy 0.684 0.969 0.189
Dy 0.505 0.469 0.189
Dy 0.316 0.031 0.811
Dy 0.495 0.531 0.811
Dy 0.755 0.848 0.654
Dy 0.899 0.348 0.654
Co 0.500 0.500 0.500
Co 0.000 0.000 0.500
Sb 0.160 0.750 0.000
Sb 0.840 0.250 0.000

=====

[2]
Material: Dy5CoSb2
Method: DFT, GGA-PBE
State: relaxed

## Properties
**Electronic total energy**: -5.51 eV per atom
**Formation energy (no corrections)**: -710 meV/atom
**Symmetry**: Pnma (62)

Lattice parameters (Å, degrees): 7.902 8.748 12.207 90.00 90.00 90.00
Sites, in units of the cell vectors:
Dy 0.154 0.750 0.203
Dy 0.346 0.750 0.703
Dy 0.846 0.250 0.797
Dy 0.654 0.250 0.297
Dy 0.454 0.750 0.998
Dy 0.046 0.750 0.498
Dy 0.546 0.250 0.002
Dy 0.954 0.250 0.502
Dy 0.622 0.750 0.307
Dy 0.878 0.750 0.807
Dy 0.378 0.250 0.693
Dy 0.122 0.250 0.193
Dy 0.822 0.536 0.065
Dy 0.678 0.964 0.565
Dy 0.178 0.036 0.935
Dy 0.322 0.464 0.435
Dy 0.178 0.464 0.935
Dy 0.322 0.036 0.435
Dy 0.822 0.964 0.065
Dy 0.678 0.536 0.565
Co 0.432 0.750 0.490
Co 0.068 0.750 0.990
Co 0.568 0.250 0.510
Co 0.932 0.250 0.010
Sb 0.929 0.508 0.327
Sb 0.571 0.992 0.827
Sb 0.071 0.008 0.673
Sb 0.429 0.492 0.173
Sb 0.071 0.492 0.673
Sb 0.429 0.008 0.173
Sb 0.929 0.992 0.327
Sb 0.571 0.508 0.827

=====

[3]
Material: Dy4Co2Sb
Method: DFT, GGA-PBE
State: relaxed

## Properties
**Electronic total energy**: -5.47 eV per atom
**Formation energy (no corrections)**: -217 meV/atom
**Symmetry**: I2_12_12_1 (24)

Lattice parameters (Å, degrees): 7.829 7.829 7.833 109.16 109.13 110.12
Sites, in units of the cell vectors:
Dy 0.907 0.225 0.320
Dy 0.344 0.525 0.181
Dy 0.906 0.587 0.680
Dy 0.774 0.094 0.681
Dy 0.413 0.093 0.319
Dy 0.343 0.163 0.819
Dy 0.476 0.657 0.820
Dy 0.837 0.656 0.180
Co 0.625 0.375 0.750
Co 0.625 0.875 0.250
Co 0.625 0.374 0.249
Co 0.125 0.376 0.751
Sb 0.250 0.750 0.500
Sb 0.000 0.000 0.000

=====

[4]
Material: DySc12Co5
Method: DFT, GGA-PBE
State: relaxed

## Properties
**Electronic total energy**: -6.63 eV per atom
**Symmetry**: Immm (71)

Lattice parameters (Å, degrees): 7.792 7.792 7.792 103.53 112.19 112.86
Sites, in units of the cell vectors:
Dy 0.000 0.500 0.500
Sc 0.547 0.821 0.726
Sc 0.453 0.179 0.274
Sc 0.905 0.179 0.726
Sc 0.095 0.821 0.274
Sc 0.685 0.685 0.370
Sc 0.315 0.315 0.630
Sc 0.315 0.685 0.000
Sc 0.685 0.315 0.000
Sc 0.810 0.591 0.781
Sc 0.190 0.409 0.219
Sc 0.190 0.971 0.781
Sc 0.810 0.029 0.219
Co 0.653 0.653 0.000
Co 0.347 0.347 0.000
Co 0.500 0.118 0.618
Co 0.500 0.882 0.382
Co 0.000 0.000 0.000

=====

[5]
Material: Dy2ScCo2
Method: DFT, GGA-PBE
State: relaxed

## Properties
**Electronic total energy**: -6.17 eV per atom
**Symmetry**: Immm (71)

Lattice parameters (Å, degrees): 3.931 5.675 5.675 60.83 69.74 69.74
Sites, in units of the cell vectors:
Dy 0.300 0.200 0.700
Dy 0.700 0.800 0.300
Sc 0.500 0.500 0.000
Co 0.000 0.205 0.295
Co 0.000 0.795 0.705

=====

[6]
Material: Dy2Sc5Co2
Method: DFT, GGA-PBE
State: relaxed

## Properties
**Electronic total energy**: -6.24 eV per atom
**Symmetry**: Cmce (64)

Lattice parameters (Å, degrees): 6.615 6.571 9.926 90.00 70.54 90.00
Sites, in units of the cell vectors:
Dy 0.230 0.000 0.541
Dy 0.730 0.500 0.541
Dy 0.770 0.000 0.459
Dy 0.270 0.500 0.459
Sc 0.000 0.000 0.000
Sc 0.500 0.500 0.000
Sc 0.423 0.177 0.792
Sc 0.784 0.823 0.792
Sc 0.284 0.677 0.792
Sc 0.923 0.323 0.792
Sc 0.577 0.823 0.208
Sc 0.216 0.177 0.208
Sc 0.716 0.323 0.208
Sc 0.077 0.677 0.208
Co 0.120 0.382 0.000
Co 0.880 0.618 0.000
Co 0.380 0.882 0.000
Co 0.620 0.118 0.000

=====

Results for theoretical density: 8.3 8.8 8.0 4.6 8.0 5.5 (in g cm⁻³, following the order of the records).
Results for Fermi-level density of states: 0.86 0.64 0.96 1.21 0.81 1.22 (in states/eV/atom, following the order of the records).